Entry 1:
First-principles (PBE-GGA) data for a relaxed structure of Sm2Er3Tm6Zr, as listed in Alexandria via LeMat-Bulk.

abc: 6.036 6.036 11.539
angles: 94.99 94.99 119.93
Fractional positions:
Tm: 0.244 0.244 0.753
Tm: 0.409 0.082 0.247
Tm: 0.591 0.918 0.753
Tm: 0.756 0.756 0.247
Tm: 0.082 0.409 0.247
Tm: 0.918 0.591 0.753
Er: 0.166 0.834 0.500
Er: 0.834 0.166 0.500
Er: 0.500 0.500 0.500
Zr: 0.000 0.000 0.000
Sm: 0.667 0.333 0.000
Sm: 0.333 0.667 0.000

Summary:
Its size of the total moment is 0.000 μB/atom. As for the formation energy: 0.050 eV/atom.



Entry 2:
First-principles (PBE-GGA) data for a relaxed structure of MoPdS, as listed in Alexandria via LeMat-Bulk.

abc: 5.951 5.641 6.314
angles: 76.23 77.28 92.00
Fractional positions:
Mo: 0.562 0.443 0.002
Mo: 0.553 0.961 0.184
Mo: 0.986 0.572 0.041
Mo: 0.891 0.011 0.795
S: 0.291 0.597 0.251
S: 0.876 0.634 0.691
S: 0.949 0.937 0.154
S: 0.511 0.135 0.816
Pd: 0.228 0.394 0.664
Pd: 0.140 0.167 0.333
Pd: 0.666 0.285 0.409
Pd: 0.354 0.863 0.659

Summary:
The calculation puts the formation energy from raw total energies at -2.9 kcal/mol of atoms. Its size of the total moment is 0.000 μB/atom.



Entry 3:
First-principles (PBE-GGA) data for a relaxed structure of K2AlFe, as listed in Alexandria via LeMat-Bulk.

abc: 11.997 11.997 11.997
angles: 15.72 15.72 15.72
Site moments in Bohr magnetons follow the coordinates.
Fractional positions:
Al: 0.250 0.250 0.250  0.01
K: 0.002 0.002 0.002  -0.02
K: 0.498 0.498 0.498  -0.02
Fe: 0.750 0.750 0.750  3.09

Summary:
Its size of the total moment is 0.746 μB/atom. As for the formation energy: 0.998 eV/atom.



Entry 4:
First-principles (PBE-GGA) data for a relaxed structure of TaCuTc2H, as listed in Alexandria via LeMat-Bulk.

abc: 3.937 3.937 3.973
angles: 90.00 90.00 90.00
Fractional positions:
Cu: 0.500 0.500 0.500
Tc: 0.000 0.500 0.000
Tc: 0.500 0.000 0.000
H: 0.000 0.000 0.000
Ta: 0.000 0.000 0.500

Summary:
Its size of the total moment is 0.000 μB/atom. For the energy above the lowest structure with this stoichiometry, the calculation gives 43.3 meV/atom.



Entry 5:
First-principles (PBE-GGA) data for a relaxed structure of Np2P7Rh12, as listed in Alexandria via LeMat-Bulk.

abc: 3.879 9.608 9.608
angles: 120.00 90.00 90.00
Site moments in Bohr magnetons follow the coordinates.
Fractional positions:
P: 0.500 0.000 0.000  0.00
P: 0.245 0.714 0.594  -0.01
P: 0.245 0.406 0.120  -0.01
P: 0.245 0.880 0.286  -0.01
P: 0.755 0.286 0.406  -0.01
P: 0.755 0.594 0.880  -0.01
P: 0.755 0.120 0.714  -0.01
Rh: 0.750 0.383 0.935  -0.01
Rh: 0.249 0.108 0.260  0.05
Rh: 0.250 0.447 0.383  -0.01
Rh: 0.250 0.935 0.553  -0.01
Rh: 0.751 0.849 0.108  0.05
Rh: 0.751 0.260 0.151  0.05
Rh: 0.750 0.065 0.447  -0.01
Rh: 0.750 0.553 0.617  -0.01
Rh: 0.250 0.617 0.065  -0.01
Rh: 0.249 0.740 0.849  0.05
Rh: 0.751 0.892 0.740  0.05
Rh: 0.249 0.151 0.892  0.05
Np: 0.747 0.667 0.333  3.62
Np: 0.253 0.333 0.667  3.62

Summary:
Its size of the total moment is 0.373 μB/atom. As for the formation energy: -0.765 eV/atom.



Entry 6:
First-principles (PBE-GGA) data for a relaxed structure of TbCoBRh2, as listed in Alexandria via LeMat-Bulk.

abc: 4.028 4.201 4.201
angles: 90.00 90.00 90.00
Site moments in Bohr magnetons follow the coordinates.
Fractional positions:
B: 0.000 0.000 0.000  -0.04
Rh: 0.000 0.000 0.500  0.14
Rh: 0.000 0.500 0.000  0.14
Tb: 0.500 0.500 0.500  -0.09
Co: 0.500 0.000 0.000  0.85

Summary:
Its size of the total moment is 0.188 μB/atom. As for the formation energy: -0.624 eV/atom.



Entry 7:
First-principles (PBE-GGA) data for a relaxed structure of NaSbPCO7, as listed in Alexandria via LeMat-Bulk.

abc: 6.665 5.469 9.449
angles: 87.77 90.00 90.00
Fractional positions:
Sb: 0.739 0.211 0.356
Sb: 0.239 0.789 0.644
O: 0.272 0.524 0.816
O: 0.926 0.795 0.662
O: 0.219 0.563 0.432
O: 0.249 0.662 0.040
O: 0.426 0.205 0.338
O: 0.719 0.437 0.568
O: 0.753 0.830 0.420
O: 0.253 0.170 0.580
O: 0.562 0.830 0.655
O: 0.750 0.075 0.155
O: 0.749 0.338 0.960
O: 0.250 0.925 0.845
O: 0.772 0.476 0.184
O: 0.062 0.170 0.345
Na: 0.533 0.221 0.792
Na: 0.033 0.779 0.208
P: 0.741 0.717 0.574
P: 0.241 0.283 0.426
C: 0.257 0.700 0.911
C: 0.757 0.300 0.089

Summary:
The calculation puts the formation energy from raw total energies at -38.3 kcal/mol of atoms. Its size of the total moment is 0.000 μB/atom.



Entry 8:
First-principles (PBE-GGA) data for a relaxed structure of AgTePI2, as listed in Alexandria via LeMat-Bulk.

abc: 5.464 5.464 5.381
angles: 90.00 90.00 90.00
Fractional positions:
Te: 0.000 0.000 0.500
I: 0.000 0.500 0.000
I: 0.500 0.000 0.000
P: 0.000 0.000 0.000
Ag: 0.500 0.500 0.500

Summary:
The calculation puts the formation energy from raw total energies at 10.4 kcal/mol of atoms. Its size of the total moment is 0.000 μB/atom. For the energy above the lowest structure with this stoichiometry, the calculation gives 0.0 meV/atom.